Record 1
YSc2Ir: relaxed, PBE.

Computed properties:
energy of formation: -0.27 eV/atom

abc: 6.9002 6.9002 6.9002
angles: 90.00 90.00 90.00
Last column: nearest neighbours and their distance in Å.
Sites, in units of the cell vectors:
Y: 0.0000 0.0000 0.0000  8 Sc 2.99
Y: 0.0000 0.5000 0.5000  8 Sc 2.99
Y: 0.5000 0.0000 0.5000  8 Sc 2.99
Y: 0.5000 0.5000 0.0000  8 Sc 2.99
Sc: 0.2500 0.2500 0.2500  4 Ir 2.99, 4 Y 2.99
Sc: 0.2500 0.2500 0.7500  4 Ir 2.99, 4 Y 2.99
Sc: 0.2500 0.7500 0.2500  4 Ir 2.99, 4 Y 2.99
Sc: 0.2500 0.7500 0.7500  4 Ir 2.99, 4 Y 2.99
Sc: 0.7500 0.2500 0.2500  4 Ir 2.99, 4 Y 2.99
Sc: 0.7500 0.2500 0.7500  4 Ir 2.99, 4 Y 2.99
Sc: 0.7500 0.7500 0.2500  4 Ir 2.99, 4 Y 2.99
Sc: 0.7500 0.7500 0.7500  4 Ir 2.99, 4 Y 2.99
Ir: 0.0000 0.0000 0.5000  8 Sc 2.99
Ir: 0.0000 0.5000 0.0000  8 Sc 2.99
Ir: 0.5000 0.0000 0.0000  8 Sc 2.99
Ir: 0.5000 0.5000 0.5000  8 Sc 2.99

Record 2
YSc2Ir: relaxed, PBE.

Computed properties:
energy of formation: -0.32 eV/atom

abc: 3.2976 4.4906 6.1008
angles: 90.00 105.62 90.00
Last column: nearest neighbours and their distance in Å.
Sites, in units of the cell vectors:
Y: 0.0000 0.0000 0.0000  2 Ir 3.05, 8 Sc 3.20-3.31, 2 Y 3.30
Sc: 0.3245 0.5000 0.7141  2 Ir 2.74, 1 Sc 2.90
Sc: 0.6755 0.5000 0.2859  2 Ir 2.74, 1 Sc 2.90
Ir: 0.5000 0.0000 0.5000  4 Sc 2.74, 2 Y 3.05

- What is the energy of formation in the second record?
  -0.32 eV/atom